[1]
A plane-wave DFT calculation with PBE was carried out for a geometry-optimized ErB5Rh7 structure.

SG: No. 44
Energy in eV/cell: -92.30
E_form in kJ/mol of atoms: -21.5

```
ErB5Rh7
1.0
4.922 0.000 0.000
2.461 5.652 -0.192
2.461 -0.210 5.651
Er B Rh
1 5 7
direct
0.011 0.989 0.989
0.442 0.999 0.483
0.076 0.999 0.483
0.442 0.483 0.999
0.076 0.483 0.999
0.715 0.785 0.785
0.679 0.321 0.321
0.343 0.657 0.657
0.922 0.410 0.746
0.922 0.746 0.410
0.259 0.241 0.241
0.557 0.739 0.148
0.557 0.148 0.739
```

[2]
A plane-wave DFT calculation with PBE was carried out for a geometry-optimized BaTbCdSn structure.

SG: No. 216
Energy in eV/cell: -12.98
E_form in kJ/mol of atoms: -36.4

```
BaTbCdSn
1.0
-4.501 3.216 -1.137
-4.198 -2.041 -3.180
-4.994 -1.201 2.348
Cd Tb Ba Sn
1 1 1 1
direct
0.750 0.750 0.750
0.000 0.000 0.000
0.500 0.500 0.500
0.250 0.250 0.250
```

[3]
A plane-wave DFT calculation with PBE was carried out for a geometry-optimized Mg2SiMo structure.

Formation energy without anion corrections in eV/atom: 0.228
SG: No. 65
Energy in eV/cell: -18.53

```
Mg2SiMo
1.0
2.801 -0.060 0.000
-0.254 2.790 0.000
0.000 0.000 8.702
Mg Mo Si
2 1 1
direct
0.000 0.000 0.997
0.000 0.000 0.503
0.500 0.500 0.250
0.500 0.500 0.750
```

[4]
A plane-wave DFT calculation with PBE was carried out for a geometry-optimized CeSmTeO2 structure.

Formation energy without anion corrections in eV/atom: -2.868
SG: No. 107
Energy in eV/cell: -38.05

```
CeSmTeO2
1.0
4.033 0.000 0.000
0.000 4.033 0.000
-2.016 -2.016 6.417
Ce Sm Te O
1 1 1 2
direct
0.842 0.842 0.683
0.159 0.159 0.318
0.501 0.501 0.002
0.749 0.249 0.498
0.249 0.749 0.498
```

[5]
A plane-wave DFT calculation with PBE was carried out for a geometry-optimized Nd2SnSb structure.

Formation energy without anion corrections in eV/atom: -0.980
SG: No. 63
Energy in eV/cell: -43.16
Distance to the lowest polymorph of the same formula in meV/atom: 0

```
Nd2SnSb
1.0
-0.390 2.402 -3.722
-4.584 -0.573 0.111
1.173 10.550 6.685
Nd Sn Sb
4 2 2
direct
0.750 0.684 0.368
0.250 0.316 0.632
0.750 0.937 0.873
0.250 0.063 0.127
0.250 0.456 0.911
0.750 0.544 0.089
0.250 0.188 0.377
0.750 0.812 0.623
```

[6]
A plane-wave DFT calculation with PBE was carried out for a geometry-optimized Ni4IrPd structure.

SG: No. 123
Energy in eV/cell: -36.86
Distance to the lowest polymorph of the same formula in meV/atom: 0
E_form in kJ/mol of atoms: 5.2

```
Ni4IrPd
1.0
2.641 -0.001 0.000
0.001 2.641 0.000
-0.001 -0.001 10.661
Ni Ir Pd
4 1 1
direct
0.500 0.500 0.831
0.500 0.500 0.169
0.000 0.000 0.676
0.000 0.000 0.324
0.000 0.000 0.000
0.500 0.500 0.500
```

[7]
A plane-wave DFT calculation with PBE was carried out for a geometry-optimized As2RuBr structure.

Formation energy without anion corrections in eV/atom: 0.279
SG: No. 160
Energy in eV/cell: -19.13
Distance to the lowest polymorph of the same formula in meV/atom: 355

```
As2RuBr
1.0
9.532 -0.018 -0.011
9.011 3.107 -0.011
9.011 1.501 2.720
Ru As Br
1 2 1
direct
0.738 0.738 0.738
0.014 0.014 0.014
0.269 0.269 0.269
0.479 0.479 0.479
```

[8]
A plane-wave DFT calculation with PBE was carried out for a geometry-optimized LaDy2Zr structure.

SG: No. 160
Energy in eV/cell: -22.40
Distance to the lowest polymorph of the same formula in meV/atom: 0
E_form in kJ/mol of atoms: 6.8

```
LaDy2Zr
1.0
3.505 0.000 0.000
1.753 3.036 0.000
1.753 1.012 11.337
La Dy Zr
1 2 1
direct
0.666 0.666 0.001
0.090 0.090 0.731
0.244 0.244 0.269
0.500 0.500 0.499
```